Entry 1:
Material: BaBe2FeP
Method: DFT, meta-GGA SCAN
State: PBEsol geometry

Unit cell a=4.2136 b=4.3906 c=4.3906 alpha=90.00 beta=90.00 gamma=90.00
Fractional positions:
P 0.5000 0.0000 0.0000
Be 0.0000 0.0000 0.5000
Be 0.0000 0.5000 0.0000
Ba 0.5000 0.5000 0.5000
Fe 0.0000 0.0000 0.0000

Properties
For the formation energy, the calculation gives 0.01 eV/atom. As for the relative energy among the computed polymorphs: 0.00 eV per formula unit.


Entry 2:
Material: KCrSi3
Method: DFT, meta-GGA SCAN
State: PBEsol geometry

Unit cell a=4.4980 b=4.4980 c=4.4980 alpha=90.00 beta=90.00 gamma=90.00
Fractional positions:
Cr 0.0000 0.0000 0.0000
K 0.5000 0.5000 0.5000
Si 0.0000 0.5000 0.0000
Si 0.0000 0.0000 0.5000
Si 0.5000 0.0000 0.0000

Properties
Its uncorrected formation energy is 0.23 eV per atom.


Entry 3:
Material: InTe2OsI
Method: DFT, meta-GGA SCAN
State: PBEsol geometry

Unit cell a=5.1212 b=5.1212 c=5.7263 alpha=90.00 beta=90.00 gamma=90.00
Fractional positions:
I 0.0000 0.0000 0.5000
Te 0.0000 0.5000 0.0000
Te 0.5000 0.0000 0.0000
Os 0.0000 0.0000 0.0000
In 0.5000 0.5000 0.5000

Properties
Its uncorrected formation energy is 0.48 eV per atom.


Entry 4:
Material: KC2
Method: DFT, meta-GGA SCAN
State: PBEsol geometry

Unit cell a=2.6265 b=5.7045 c=7.4516 alpha=99.12 beta=90.00 gamma=103.31
Site moments in Bohr magnetons follow the coordinates.
Fractional positions:
K 0.0158 0.0316 0.6050  0.04
K 0.7850 0.5700 0.0347  0.03
C 0.0404 0.0809 0.9797  0.95
C 0.7470 0.4940 0.6252  0.38
C 0.3085 0.6171 0.3785  0.31
C 0.2699 0.5399 0.5436  -0.10

Properties
For the formation energy, the calculation gives 1.63 eV/atom. As for the relative energy among the computed polymorphs: 3.60 eV per formula unit.


Entry 5:
Material: CeIn4Ni
Method: DFT, meta-GGA SCAN
State: PBEsol geometry

Unit cell a=4.4179 b=7.0563 c=8.6189 alpha=90.00 beta=104.85 gamma=90.00
Site moments in Bohr magnetons follow the coordinates.
Fractional positions:
Ni 0.2251 0.2500 0.4502  0.02
Ni 0.7749 0.7500 0.5498  0.02
Ce 0.1170 0.7500 0.2341  0.94
Ce 0.8830 0.2500 0.7659  0.94
In 0.5000 0.5000 0.0000  0.01
In 0.5000 0.0000 0.0000  0.01
In 0.6878 0.0460 0.3755  0.00
In 0.3122 0.9540 0.6245  0.00
In 0.3122 0.5460 0.6245  0.00
In 0.6878 0.4540 0.3755  0.00
In 0.0740 0.2500 0.1480  0.00
In 0.9260 0.7500 0.8520  0.00

Properties
For the formation energy, the calculation gives -0.43 eV/atom.


Entry 6:
Material: YHgW2
Method: DFT, meta-GGA SCAN
State: PBEsol geometry

Unit cell a=4.0169 b=4.0169 c=5.5288 alpha=111.30 beta=111.30 gamma=90.00
Fractional positions:
Hg 0.0000 0.0000 0.0000
W 0.7500 0.2500 0.5000
W 0.2500 0.7500 0.5000
Y 0.5000 0.5000 0.0000

Properties
For the formation energy, the calculation gives 0.67 eV/atom.


Entry 7:
Material: BeHgRh2
Method: DFT, meta-GGA SCAN
State: PBEsol geometry

Unit cell a=2.7615 b=2.7615 c=7.9301 alpha=90.00 beta=90.00 gamma=113.91
Fractional positions:
Be 0.5000 0.5000 0.5000
Rh 0.0000 0.0000 0.2980
Rh 0.0000 0.0000 0.7020
Hg 0.5000 0.5000 0.0000

Properties
For the formation energy, the calculation gives -0.05 eV/atom. As for the relative energy among the computed polymorphs: 0.68 eV per formula unit.


Entry 8:
Material: ZrCu2Mo
Method: DFT, meta-GGA SCAN
State: PBEsol geometry

Unit cell a=3.7971 b=3.7971 c=4.9203 alpha=112.70 beta=112.70 gamma=90.00
Fractional positions:
Cu 0.0000 0.0000 0.0000
Cu 0.7500 0.2500 0.5000
Mo 0.5000 0.5000 0.0000
Zr 0.2500 0.7500 0.5000

Properties
For the formation energy, the calculation gives 0.19 eV/atom.


Entry 9:
Material: MnSiAs2
Method: DFT, meta-GGA SCAN
State: PBEsol geometry

Unit cell a=3.6962 b=3.6962 c=5.4291 alpha=109.90 beta=109.90 gamma=90.00
Site moments in Bohr magnetons follow the coordinates.
Fractional positions:
As 0.0000 0.0000 0.0000  -0.10
As 0.7500 0.2500 0.5000  -0.05
Mn 0.5000 0.5000 0.0000  3.97
Si 0.2500 0.7500 0.5000  -0.04

Properties
Its uncorrected formation energy is 0.23 eV per atom.


Entry 10:
Material: LiCaAs
Method: DFT, meta-GGA SCAN
State: PBEsol geometry

Unit cell a=3.9896 b=3.9896 c=4.9329 alpha=113.85 beta=113.85 gamma=90.00
Fractional positions:
As 0.9865 0.9865 0.9730
Ca 0.3443 0.3443 0.6886
Li 0.6692 0.6692 0.3384

Properties
For the formation energy, the calculation gives -0.80 eV/atom.


Entry 11:
Material: Ba2ScCd
Method: DFT, meta-GGA SCAN
State: PBEsol geometry

Unit cell a=3.8691 b=5.9909 c=7.1502 alpha=114.77 beta=105.70 gamma=90.00
Fractional positions:
Ba 0.9859 0.9859 0.9717
Ba 0.7819 0.2819 0.5638
Cd 0.5276 0.5276 0.0552
Sc 0.2046 0.7046 0.4093

Properties
For the formation energy, the calculation gives 0.02 eV/atom.


Entry 12:
Material: Ca11C2N10
Method: DFT, meta-GGA SCAN
State: PBEsol geometry

Unit cell a=3.5692 b=14.3729 c=14.3729 alpha=90.00 beta=90.00 gamma=90.00
Fractional positions:
C 0.0000 0.1839 0.1839
C 0.0000 0.8161 0.8161
C 0.5000 0.3161 0.6839
C 0.5000 0.6839 0.3161
Ca 0.0000 0.0000 0.0000
Ca 0.5000 0.5000 0.5000
Ca 0.0000 0.2954 0.5203
Ca 0.0000 0.7046 0.4797
Ca 0.5000 0.9797 0.7954
Ca 0.5000 0.0203 0.2046
Ca 0.5000 0.2046 0.0203
Ca 0.5000 0.7954 0.9797
Ca 0.0000 0.5203 0.2954
Ca 0.0000 0.4797 0.7046
Ca 0.0000 0.1672 0.8328
Ca 0.0000 0.8328 0.1672
Ca 0.5000 0.6672 0.6672
Ca 0.5000 0.3328 0.3328
Ca 0.0000 0.3929 0.1188
Ca 0.0000 0.6071 0.8812
Ca 0.5000 0.3812 0.8929
Ca 0.5000 0.6188 0.1071
Ca 0.5000 0.1071 0.6188
Ca 0.5000 0.8929 0.3812
Ca 0.0000 0.1188 0.3929
Ca 0.0000 0.8812 0.6071
N 0.0000 0.4105 0.4105
N 0.0000 0.5895 0.5895
N 0.5000 0.0895 0.9105
N 0.5000 0.9105 0.0895
N 0.0000 0.6894 0.0281
N 0.0000 0.3106 0.9719
N 0.5000 0.4719 0.1894
N 0.5000 0.5281 0.8106
N 0.5000 0.8106 0.5281
N 0.5000 0.1894 0.4719
N 0.0000 0.0281 0.6894
N 0.0000 0.9719 0.3106
N 0.0000 0.2446 0.2446
N 0.0000 0.7554 0.7554
N 0.5000 0.2554 0.7446
N 0.5000 0.7446 0.2554
N 0.0000 0.1227 0.1227
N 0.0000 0.8773 0.8773
N 0.5000 0.3773 0.6227
N 0.5000 0.6227 0.3773

Properties
Its uncorrected formation energy is -1.02 eV per atom.


no.,calculated volume (Å³ per atom),VASP energy (eV per atom)
1,16.25,-15.3447
2,18.20,-11.1258
3,30.04,-42.8222
4,17.87,-7.8753
5,21.64,-32.8060
6,19.13,-58.1753
7,13.82,-35.0648
8,14.86,-23.8086
9,16.25,-16.9366
10,21.47,-11.5449
11,35.91,-30.9222
12,16.03,-10.5551